Version A
Below is a relaxed structure of LiThIr, with properties calculated at the PBE-GGA level.

Results
Calculated volume   20.43 A^3/atom
Magnetic moment   0.000 Bohr magnetons per cell

a b c (Å): 7.2984 3.9887 12.6361
angles (deg): 90.00 90.66 90.00
Closest atoms and distances in Å follow each position.
Space group P2_1/m (No. 11)
Symmetry-distinct sites (fractional):
Li 0.0136 0.2500 0.0783  4 Ir 2.73-2.83, 2 Li 2.81, 1 Th 3.05
Li 0.1192 0.7500 0.5360  4 Ir 2.77-2.92, 2 Li 2.79
Li 0.3834 0.2500 0.1966  4 Ir 2.63-2.88
Th 0.0635 0.7500 0.2843  5 Ir 2.96-3.02, 7 Li 3.20-3.31
Th 0.3272 0.2500 0.9207  5 Ir 2.85-3.01, 3 Li 3.05-3.19
Th 0.4457 0.2500 0.6250  5 Ir 2.92-3.00, 2 Li 3.25
Ir 0.2310 0.7500 0.7507  3 Li 2.82-2.88, 6 Th 2.96-3.01
Ir 0.2681 0.7500 0.0779  5 Li 2.63-2.83, 2 Th 2.85
Ir 0.2693 0.2500 0.4114  4 Li 2.77-2.92, 5 Th 2.92-2.98



Version B
Below is a relaxed structure of LiThIr, with properties calculated at the PBE-GGA level.

Results
Calculated volume   21.69 A^3/atom
Magnetic moment   0.000 Bohr magnetons per cell

a b c (Å): 3.8240 3.8240 8.8979
angles (deg): 90.00 90.00 90.00
Closest atoms and distances in Å follow each position.
Space group I4mm (No. 107)
Symmetry-distinct sites (fractional):
Li 0.0000 0.0000 0.0000  1 Ir 2.69, 1 Th 2.79
Th 0.0000 0.0000 0.3140  1 Li 2.79, 4 Ir 2.89
Ir 0.0000 0.0000 0.6979  1 Li 2.69, 4 Th 2.89



From most stable to least stable, the computed energies give version A, version B.



Version A
Below is a relaxed structure of LiTi3Ir, with properties calculated at the PBE-GGA level.

Results
Calculated volume   15.32 A^3/atom
Magnetic moment   0.000 Bohr magnetons per cell

a b c (Å): 4.2472 4.2472 4.2472
angles (deg): 90.00 90.00 90.00
Closest atoms and distances in Å follow each position.
Space group Pm-3m (No. 221)
Symmetry-distinct sites (fractional):
Li 0.0000 0.0000 0.0000  6 Ti 2.12
Ti 0.0000 0.0000 0.5000  2 Li 2.12
Ir 0.5000 0.5000 0.5000  12 Ti 3.00



Version B
Below is a relaxed structure of LiTi3Ir, with properties calculated at the PBE-GGA level.

Results
Calculated volume   22.42 A^3/atom
Magnetic moment   2.333 Bohr magnetons per cell

a b c (Å): 4.8221 4.8221 4.8221
angles (deg): 90.00 90.00 90.00
Closest atoms and distances in Å follow each position.
Space group Pm-3m (No. 221)
Symmetry-distinct sites (fractional):
Li 0.0000 0.0000 0.0000  12 Ti 3.41
Ti 0.0000 0.5000 0.5000  2 Ir 2.41
Ir 0.5000 0.5000 0.5000  6 Ti 2.41



From most stable to least stable, the computed energies give version B, version A.